Record 1
First-principles (PBE) data for a relaxed TbSnAs2Rh5 crystal, as listed in Alexandria via LeMat-Bulk.

Lattice parameters (Å, degrees): 4.1379 4.1379 8.8381 90.00 90.00 90.00
With the nearest neighbours (Å) after each atom.
Sites, in units of the cell vectors:
Tb 0.0000 0.0000 0.0000  8 As 3.18, 8 Rh 3.22
Sn 0.0000 0.0000 0.5000  12 Rh 2.84-2.93
As 0.5000 0.5000 0.1422  4 Rh 2.40, 1 As 2.51
As 0.5000 0.5000 0.8578  4 Rh 2.40, 1 As 2.51
Rh 0.0000 0.5000 0.2793  2 As 2.40
Rh 0.5000 0.0000 0.2793  2 As 2.40
Rh 0.0000 0.5000 0.7207  2 As 2.40
Rh 0.5000 0.0000 0.7207  2 As 2.40
Rh 0.5000 0.5000 0.5000  8 Rh 2.84, 4 Sn 2.93, 2 As 3.16

Record 2
First-principles (PBE) data for a relaxed TcSnAs2Rh crystal, as listed in Alexandria via LeMat-Bulk.

Lattice parameters (Å, degrees): 4.7265 4.7265 4.9598 90.00 90.00 90.00
With the nearest neighbours (Å) after each atom.
Sites, in units of the cell vectors:
As 0.0000 0.5000 0.0000  2 Tc 2.36
As 0.5000 0.0000 0.0000  2 Tc 2.36
Rh 0.0000 0.0000 0.5000  2 Tc 2.48
Sn 0.5000 0.5000 0.5000  4 Rh 3.34, 8 As 3.43
Tc 0.0000 0.0000 0.0000  4 As 2.36, 2 Rh 2.48

no.,E_form (eV per atom),energy (eV per cell)
1,-0.668,-60.70
2,0.534,-28.35